# LiCr2InF6

A geometry-optimized LiCr2InF6 structure (PBE+U, Alexandria via LeMat-Bulk).

Values from the calculation:
- symmetry = No. 1
- DOS at the Fermi energy (states/eV/f.u.) = 0.000
- uncorrected energy (eV per atom) = -5.50

Cell lengths 5.644, 5.752, 5.978 Å; angles 94.49, 117.00, 114.23 degrees
Atoms (fractional coordinates):
Li1 0.000 0.000 0.000
Cr1 0.332 0.606 0.081
Cr2 0.346 0.084 0.601
In1 0.866 0.367 0.354
F1 0.189 0.838 0.878
F2 0.335 0.388 0.795
F3 0.368 0.334 0.273
F4 0.385 0.818 0.402
F5 0.791 0.215 0.880
F6 0.902 0.911 0.277